Below is a geometry-optimized Ho2ScMnS6 structure, with properties calculated at the GGA-PBE level.

Summary:
Raw formation energy = -1.624 eV per atom
Fermi-level density of states = 2.277 states/eV per cell
Space-group type = P2_1/c, No. 14
Spin magnetization = 8.00 Bohr magnetons per cell

Lattice parameters (Å, degrees): 6.272 7.030 9.153 90.00 90.51 90.00
Element x y z (fractional)
S 0.816 0.827 0.562
S 0.684 0.327 0.938
S 0.316 0.673 0.062
S 0.328 0.679 0.432
S 0.672 0.321 0.568
S 0.828 0.821 0.932
S 0.141 0.461 0.762
S 0.859 0.539 0.238
S 0.359 0.961 0.738
S 0.172 0.179 0.068
S 0.641 0.039 0.262
S 0.184 0.173 0.438
Mn 0.000 0.500 0.000
Mn 0.500 0.000 0.500
Ho 0.957 0.110 0.752
Ho 0.457 0.390 0.252
Ho 0.043 0.890 0.248
Ho 0.543 0.610 0.748
Sc 0.500 0.000 0.000
Sc 0.000 0.500 0.500